# 1
# NiOs3 | Alexandria via LeMat-Bulk | GGA-PBE | optimized geometry
# SG: No. 187
# E in eV/atom: -9.781
# Energy of formation in meV per atom: 87
data_NiOs3
_symmetry_space_group_name_H-M 'P 1'
_symmetry_Int_Tables_number 1
_symmetry_space_group_name_Hall 'P 1'
_cell_length_a 2.731
_cell_length_b 2.731
_cell_length_c 8.484
_cell_angle_alpha 90.00
_cell_angle_beta 90.00
_cell_angle_gamma 120.00
loop_
_atom_site_label
_atom_site_type_symbol
_atom_site_fract_x
_atom_site_fract_y
_atom_site_fract_z
Os1 Os 0.000 0.000 0.500
Ni1 Ni 0.000 0.000 0.000
Os2 Os 0.333 0.667 0.753
Os3 Os 0.333 0.667 0.247

---

# 2
# In3MoPb | Alexandria via LeMat-Bulk | GGA-PBE | optimized geometry
# Offset from the most stable computed form in meV/atom: 0.0
# SG: No. 221
# E in eV/atom: -4.028
# Energy of formation in meV per atom: 522
data_In3MoPb
_symmetry_space_group_name_H-M 'P 1'
_symmetry_Int_Tables_number 1
_symmetry_space_group_name_Hall 'P 1'
_cell_length_a 5.303
_cell_length_b 5.303
_cell_length_c 5.303
_cell_angle_alpha 90.00
_cell_angle_beta 90.00
_cell_angle_gamma 90.00
loop_
_atom_site_label
_atom_site_type_symbol
_atom_site_fract_x
_atom_site_fract_y
_atom_site_fract_z
In1 In 0.500 0.000 0.000
Mo1 Mo 0.000 0.000 0.000
Pb1 Pb 0.500 0.500 0.500
In2 In 0.000 0.000 0.500
In3 In 0.000 0.500 0.000

---

no.,mass density (g cm⁻³)
1,19.1
2,7.2